(1)
NdBeN: relaxed, PBE.

Unit cell a=6.9756 b=6.9756 c=3.7110 alpha=90.00 beta=90.00 gamma=149.74
Sites, in units of the cell vectors:
Be1 0.4518 0.5482 0.7500
Be2 0.5482 0.4518 0.2500
N1 0.6653 0.3347 0.2500
N2 0.3347 0.6653 0.7500
Nd1 0.1551 0.8449 0.7500
Nd2 0.8449 0.1551 0.2500

Summary:
Space group: No. 63
Energy, eV per atom: -6.57


(2)
PaBeNO: relaxed, PBE.

Unit cell a=3.2902 b=5.4638 c=5.2990 alpha=90.00 beta=90.00 gamma=90.00
Each line ends with the local moment (μB).
Sites, in units of the cell vectors:
O1 0.5000 0.1698 0.0004  0.01
O2 0.5000 0.8302 0.5004  0.01
Be1 0.0000 0.6946 0.5011  0.00
Be2 0.0000 0.3054 0.0011  0.00
Pa1 0.5000 0.7462 0.0012  1.18
Pa2 0.5000 0.2538 0.5012  1.18
N1 0.0000 0.5004 0.7513  -0.02
N2 0.0000 0.4996 0.2513  -0.01

Summary:
Energy above the most stable polymorph in this dataset, eV/atom: 0.011
Space group: No. 51


(3)
PaBeNO: relaxed, PBE.

Unit cell a=3.4924 b=3.4924 c=7.6035 alpha=90.00 beta=90.00 gamma=90.01
Each line ends with the local moment (μB).
Sites, in units of the cell vectors:
Pa1 0.7500 0.2500 0.6996  0.86
Pa2 0.2500 0.7500 0.3004  0.86
Be1 0.2500 0.2500 0.0000  0.00
Be2 0.7500 0.7500 0.0000  0.00
O1 0.2500 0.2500 0.5000  -0.04
O2 0.7500 0.7500 0.5000  -0.04
N1 0.7500 0.2500 0.0945  0.01
N2 0.2500 0.7500 0.9055  0.01

Summary:
Energy above the most stable polymorph in this dataset, eV/atom: 0.401
Space group: No. 129


(4)
PaBeNO: relaxed, PBE.

Unit cell a=4.6491 b=4.6491 c=4.6656 alpha=90.00 beta=90.00 gamma=90.00
Sites, in units of the cell vectors:
Be1 0.2500 0.2500 0.9841
Be2 0.7500 0.7500 0.0159
O1 0.2500 0.7500 0.0000
O2 0.7500 0.2500 0.0000
Pa1 0.7500 0.2500 0.5000
Pa2 0.2500 0.7500 0.5000
N1 0.7500 0.7500 0.3565
N2 0.2500 0.2500 0.6435

Summary:
Energy above the most stable polymorph in this dataset, eV/atom: 0.603
Space group: No. 129


(5)
PaBeNO: relaxed, PBE.

Unit cell a=3.3361 b=5.1034 c=5.4908 alpha=90.00 beta=90.00 gamma=90.00
Sites, in units of the cell vectors:
N1 0.0000 0.5002 0.6767
N2 0.0000 0.0002 0.3233
Pa1 0.0000 0.5012 0.2660
Pa2 0.0000 0.0012 0.7340
Be1 0.5000 0.0008 0.2078
Be2 0.5000 0.5008 0.7922
O1 0.5000 0.7518 0.9992
O2 0.5000 0.2518 0.0008

Summary:
Energy above the most stable polymorph in this dataset, eV/atom: 0.000
Space group: No. 26


(6)
BePdNO: relaxed, PBE.

Unit cell a=3.3238 b=3.3238 c=7.1821 alpha=90.00 beta=90.00 gamma=90.00
Sites, in units of the cell vectors:
Be1 0.2500 0.7500 0.5000
Be2 0.7500 0.2500 0.5000
O1 0.2500 0.7500 0.0000
O2 0.7500 0.2500 0.0000
Pd1 0.2500 0.2500 0.1773
Pd2 0.7500 0.7500 0.8227
N1 0.7500 0.7500 0.4035
N2 0.2500 0.2500 0.5965

Summary:
Energy above the most stable polymorph in this dataset, eV/atom: 0.920
Space group: No. 129


(7)
BePdNO: relaxed, PBE.

Unit cell a=4.4778 b=4.7653 c=6.9077 alpha=90.00 beta=90.00 gamma=90.00
Sites, in units of the cell vectors:
Be1 0.9804 0.0941 0.5931
Be2 0.4804 0.9059 0.4069
Be3 0.4804 0.4059 0.5931
Be4 0.9804 0.5941 0.4069
N1 0.0532 0.4909 0.1613
N2 0.5532 0.5091 0.8387
N3 0.5532 0.0091 0.1613
N4 0.0532 0.9909 0.8387
O1 0.1216 0.9022 0.4292
O2 0.6216 0.5978 0.4292
O3 0.1216 0.4022 0.5708
O4 0.6216 0.0978 0.5708
Pd1 0.5472 0.4946 0.1371
Pd2 0.5472 0.9946 0.8629
Pd3 0.0472 0.0054 0.1371
Pd4 0.0472 0.5054 0.8629

Summary:
Energy above the most stable polymorph in this dataset, eV/atom: 0.000
Space group: No. 29


(8)
BePdNO: relaxed, PBE.

Unit cell a=3.7068 b=3.7068 c=5.8493 alpha=90.00 beta=90.00 gamma=90.00
Sites, in units of the cell vectors:
Be1 0.7500 0.7500 0.0464
Be2 0.2500 0.2500 0.9536
N1 0.7500 0.7500 0.3495
N2 0.2500 0.2500 0.6505
O1 0.2500 0.7500 0.0000
O2 0.7500 0.2500 0.0000
Pd1 0.7500 0.2500 0.5000
Pd2 0.2500 0.7500 0.5000

Summary:
Energy above the most stable polymorph in this dataset, eV/atom: 0.372
Space group: No. 129


(9)
BePdNO: relaxed, PBE.

Unit cell a=2.8897 b=4.6175 c=5.8035 alpha=90.00 beta=90.00 gamma=90.00
Sites, in units of the cell vectors:
Pd1 0.0000 0.4870 0.3818
Pd2 0.0000 0.9870 0.6182
Be1 0.5000 0.5078 0.8680
Be2 0.5000 0.0078 0.1320
N1 0.0000 0.4070 0.7175
N2 0.0000 0.9070 0.2825
O1 0.5000 0.8522 0.8911
O2 0.5000 0.3522 0.1089

Summary:
Energy above the most stable polymorph in this dataset, eV/atom: 0.178
Space group: No. 26


(10)
BePdNO: relaxed, PBE.

Unit cell a=2.7909 b=4.8115 c=5.8632 alpha=90.00 beta=90.00 gamma=90.00
Sites, in units of the cell vectors:
N1 0.5000 0.8632 0.3914
N2 0.5000 0.3632 0.6086
Pd1 0.0000 0.4557 0.8366
Pd2 0.0000 0.9557 0.1634
O1 0.0000 0.4278 0.2138
O2 0.0000 0.9278 0.7862
Be1 0.5000 0.0072 0.6507
Be2 0.5000 0.5072 0.3493

Summary:
Energy above the most stable polymorph in this dataset, eV/atom: 0.204
Space group: No. 26


(11)
BePdNO: relaxed, PBE.

Unit cell a=3.6656 b=3.6656 c=6.1090 alpha=90.00 beta=90.00 gamma=89.99
Sites, in units of the cell vectors:
N1 0.2500 0.2500 0.6564
N2 0.7500 0.7500 0.3436
Be1 0.7500 0.7500 0.0457
Be2 0.2500 0.2500 0.9543
O1 0.7500 0.2500 0.0000
O2 0.2500 0.7500 0.0000
Pd1 0.2500 0.7500 0.5000
Pd2 0.7500 0.2500 0.5000

Summary:
Energy above the most stable polymorph in this dataset, eV/atom: 0.371
Space group: No. 129


(12)
PmBeNO: relaxed, PBE.

Unit cell a=3.2883 b=5.3209 c=5.3809 alpha=90.00 beta=90.00 gamma=90.00
Sites, in units of the cell vectors:
Be1 0.0000 0.0005 0.6875
Be2 0.0000 0.5005 0.3125
Pm1 0.5000 0.5094 0.7252
Pm2 0.5000 0.0094 0.2748
O1 0.5000 0.9856 0.8440
O2 0.5000 0.4856 0.1560
N1 0.0000 0.2585 0.5134
N2 0.0000 0.7585 0.4866

Summary:
Energy above the most stable polymorph in this dataset, eV/atom: 0.082
Space group: No. 26


(13)
PmBeNO: relaxed, PBE.

Unit cell a=5.3908 b=6.6089 c=4.9769 alpha=90.00 beta=90.00 gamma=90.00
Sites, in units of the cell vectors:
Be1 0.0846 0.0942 0.0123
Be2 0.5846 0.9058 0.0123
Be3 0.9154 0.9058 0.5123
Be4 0.4154 0.0942 0.5123
O1 0.9863 0.6514 0.5028
O2 0.0137 0.3486 0.0028
O3 0.5137 0.6514 0.0028
O4 0.4863 0.3486 0.5028
Pm1 0.5393 0.2840 0.9932
Pm2 0.0393 0.7160 0.9932
Pm3 0.4607 0.7160 0.4932
Pm4 0.9607 0.2840 0.4932
N1 0.3446 0.0113 0.1941
N2 0.8446 0.9887 0.1941
N3 0.1554 0.0113 0.6941
N4 0.6554 0.9887 0.6941

Summary:
Energy above the most stable polymorph in this dataset, eV/atom: 0.119
Space group: No. 29


(14)
PmBeNO: relaxed, PBE.

Unit cell a=4.7855 b=4.7855 c=4.6283 alpha=90.20 beta=90.20 gamma=85.71
Sites, in units of the cell vectors:
N1 0.2356 0.2356 0.5861
N2 0.7488 0.7488 0.4131
Pm1 0.7336 0.2378 0.5001
Pm2 0.2378 0.7336 0.5001
O1 0.3533 0.8474 0.9998
O2 0.8474 0.3533 0.9998
Be1 0.1687 0.1687 0.9185
Be2 0.6748 0.6748 0.0825

Summary:
Energy above the most stable polymorph in this dataset, eV/atom: 0.322
Space group: No. 8


(15)
PmBeNO: relaxed, PBE.

Unit cell a=4.7462 b=4.7462 c=4.7187 alpha=90.00 beta=90.00 gamma=90.00
Sites, in units of the cell vectors:
O1 0.7500 0.2500 0.0000
O2 0.2500 0.7500 0.0000
Pm1 0.7500 0.2500 0.5000
Pm2 0.2500 0.7500 0.5000
Be1 0.7500 0.7500 0.9162
Be2 0.2500 0.2500 0.0838
N1 0.2500 0.2500 0.4127
N2 0.7500 0.7500 0.5873

Summary:
Energy above the most stable polymorph in this dataset, eV/atom: 0.670
Space group: No. 129


(16)
PmBeNO: relaxed, PBE.

Unit cell a=3.5470 b=3.5470 c=7.4975 alpha=90.00 beta=90.00 gamma=90.00
Sites, in units of the cell vectors:
Pm1 0.7500 0.7500 0.8213
Pm2 0.2500 0.2500 0.1787
O1 0.7500 0.2500 0.0000
O2 0.2500 0.7500 0.0000
N1 0.7500 0.7500 0.4119
N2 0.2500 0.2500 0.5881
Be1 0.7500 0.2500 0.5000
Be2 0.2500 0.7500 0.5000

Summary:
Energy above the most stable polymorph in this dataset, eV/atom: 0.305
Space group: No. 129


(17)
PmBeNO: relaxed, PBE.

Unit cell a=4.9154 b=5.1895 c=6.9568 alpha=90.00 beta=90.00 gamma=90.00
Sites, in units of the cell vectors:
O1 0.6862 0.6487 0.4826
O2 0.1862 0.8513 0.4826
O3 0.6862 0.1487 0.5174
O4 0.1862 0.3513 0.5174
Pm1 0.0020 0.5182 0.8204
Pm2 0.5020 0.4818 0.1796
Pm3 0.5020 0.9818 0.8204
Pm4 0.0020 0.0182 0.1796
N1 0.5048 0.9734 0.1612
N2 0.0048 0.5266 0.1612
N3 0.5048 0.4734 0.8388
N4 0.0048 0.0266 0.8388
Be1 0.0093 0.0766 0.5928
Be2 0.5093 0.9234 0.4072
Be3 0.5093 0.4234 0.5928
Be4 0.0093 0.5766 0.4072

Summary:
Energy above the most stable polymorph in this dataset, eV/atom: 0.000
Space group: No. 29


(18)
PmBeNO: relaxed, PBE.

Unit cell a=3.3723 b=5.0999 c=5.3172 alpha=90.00 beta=90.00 gamma=90.00
Sites, in units of the cell vectors:
Be1 0.5000 0.0009 0.2045
Be2 0.5000 0.5009 0.7955
Pm1 0.0000 0.0008 0.7600
Pm2 0.0000 0.5008 0.2400
O1 0.5000 0.7521 0.9987
O2 0.5000 0.2521 0.0013
N1 0.0000 0.5002 0.6736
N2 0.0000 0.0002 0.3264

Summary:
Energy above the most stable polymorph in this dataset, eV/atom: 0.145
Space group: No. 26


(19)
BeReNO: relaxed, PBE.

Unit cell a=3.0832 b=3.0832 c=7.5765 alpha=90.00 beta=90.00 gamma=90.00
Sites, in units of the cell vectors:
Be1 0.5000 0.5000 0.5000
Be2 0.0000 0.0000 0.5000
O1 0.0000 0.0000 0.0000
O2 0.5000 0.5000 0.0000
Re1 0.0000 0.5000 0.1796
Re2 0.5000 0.0000 0.8204
N1 0.0000 0.5000 0.6163
N2 0.5000 0.0000 0.3837

Summary:
Energy above the most stable polymorph in this dataset, eV/atom: 1.029
Space group: No. 129


(20)
BeReNO: relaxed, PBE.

Unit cell a=4.6717 b=2.7820 c=5.6703 alpha=90.00 beta=90.00 gamma=90.00
Sites, in units of the cell vectors:
N1 0.3849 0.0000 0.6601
N2 0.8849 0.0000 0.3399
Re1 0.9623 0.5000 0.0939
Re2 0.4623 0.5000 0.9061
Be1 0.5133 0.0000 0.3843
Be2 0.0133 0.0000 0.6157
O1 0.3935 0.5000 0.2628
O2 0.8935 0.5000 0.7372

Summary:
Energy above the most stable polymorph in this dataset, eV/atom: 0.001
Space group: No. 26